1.
Compound: CsTbPbCl6
Source: the Alexandria database
Functional: PBE
Structure: optimized geometry

The uncorrected formation energy comes out at -182.9 kJ per mole of atoms. The final energy is -0.1524 Ha/atom. As for the total magnetization: 0.00 μB/cell.

Lattice parameters (Å, degrees): 7.4004 7.4004 7.5169 90.00 90.00 120.00
With the nearest neighbours (Å) after each atom.
Space group P312 (No. 149)
One atom of each set of equivalent atoms:
Cs1 0.0000 0.0000 0.0000 x1  6 Cl 3.56
Tb1 0.6667 0.3333 0.5000 x1  6 Cl 2.68
Pb1 0.3333 0.6667 0.5000 x1  6 Cl 2.92
Cl1 0.3886 0.0246 0.7062 x6  1 Tb 2.68, 1 Pb 2.92



2.
Compound: LiCa3Ga
Source: the Alexandria database
Functional: PBE
Structure: optimized geometry

The final energy is -0.0812 Ha/atom. As for the total magnetization: 0.00 μB/cell.

Lattice parameters (Å, degrees): 5.8276 5.8276 5.8276 90.00 90.00 90.00
With the nearest neighbours (Å) after each atom.
Space group Pm-3m (No. 221)
One atom of each set of equivalent atoms:
Li1 0.0000 0.0000 0.0000 x1  12 Ca 4.12
Ca1 0.0000 0.5000 0.5000 x3  2 Ga 2.91
Ga1 0.5000 0.5000 0.5000 x1  6 Ca 2.91



3.
Compound: Cs2CdAsBr6
Source: the Alexandria database
Functional: PBE
Structure: optimized geometry

The uncorrected formation energy comes out at -99.7 kJ per mole of atoms. The final energy is -0.1016 Ha/atom. As for the total magnetization: 0.00 μB/cell.

Lattice parameters (Å, degrees): 7.9575 7.9575 11.1972 90.00 90.00 90.00
With the nearest neighbours (Å) after each atom.
Space group I4/mmm (No. 139)
One atom of each set of equivalent atoms:
Cs1 0.0000 0.5000 0.2500 x4  12 Br 3.97-3.98
Cd1 0.0000 0.0000 0.0000 x2  6 Br 2.86-2.90
As1 0.0000 0.0000 0.5000 x2  6 Br 2.72-2.74
Br1 0.0000 0.0000 0.2551 x4  1 As 2.74, 1 Cd 2.86
Br2 0.2421 0.2421 0.5000 x8  1 As 2.72, 1 Cd 2.90



4.
Compound: BeRe2HgIr
Source: the Alexandria database
Functional: PBE
Structure: optimized geometry

The final energy is -0.1969 Ha/atom. As for the total magnetization: 2.04 μB/cell.

Lattice parameters (Å, degrees): 4.7555 4.7555 5.0920 90.00 90.00 90.00
With the nearest neighbours (Å) after each atom.
Space group P4/mmm (No. 123)
One atom of each set of equivalent atoms:
Be1 0.0000 0.0000 0.0000 x1  4 Hg 3.36, 8 Re 3.48
Re1 0.0000 0.5000 0.5000 x2  2 Ir 2.38
Hg1 0.5000 0.5000 0.0000 x1  2 Ir 2.55
Ir1 0.5000 0.5000 0.5000 x1  4 Re 2.38, 2 Hg 2.55



5.
Compound: Nb6OsRu3
Source: the Alexandria database
Functional: PBE
Structure: optimized geometry

The final energy is -0.3739 Ha/atom. As for the total magnetization: 0.00 μB/cell.

Lattice parameters (Å, degrees): 7.8432 4.5343 9.6531 90.00 106.57 90.00
With the nearest neighbours (Å) after each atom.
Space group P2_1/m (No. 11)
One atom of each set of equivalent atoms:
Nb1 0.0477 0.2500 0.3995 x2  3 Nb 2.78-2.79, 4 Ru 2.78-2.82, 1 Os 2.79
Nb2 0.1450 0.7500 0.2004 x2  4 Ru 2.70-2.79, 3 Os 2.74-2.77, 1 Nb 2.76
Nb3 0.1535 0.2500 0.7016 x2  8 Nb 2.76-2.79
Nb4 0.2536 0.2500 0.9993 x2  4 Ru 2.73-2.88, 1 Nb 2.76, 3 Os 2.78-2.79
Nb5 0.3538 0.7500 0.8056 x2  5 Ru 2.78-2.83, 2 Nb 2.78, 1 Os 2.82
Nb6 0.4500 0.2500 0.6006 x2  7 Ru 2.70-2.77, 1 Nb 2.77
Os1 0.0465 0.7500 0.9015 x2  8 Nb 2.74-2.82
Ru1 0.2572 0.7500 0.5004 x2  8 Nb 2.74-2.83
Ru2 0.3487 0.2500 0.3025 x2  8 Nb 2.76-2.81
Ru3 0.4386 0.7500 0.1075 x2  8 Nb 2.70-2.88



6.
Compound: Li3U3OsN8
Source: the Alexandria database
Functional: PBE
Structure: optimized geometry

The uncorrected formation energy comes out at -72.2 kJ per mole of atoms. The final energy is -0.3152 Ha/atom. As for the total magnetization: 2.86 μB/cell.

Lattice parameters (Å, degrees): 6.6909 6.6909 15.0975 90.00 90.00 120.00
With the nearest neighbours (Å) after each atom.
Space group R-3m (No. 166, hexagonal axes)
One atom of each set of equivalent atoms:
Li1 0.0000 0.5000 0.0000 x9  6 N 2.40-2.43
U1 0.0000 0.5000 0.5000 x9  6 N 2.20-2.22
Os1 0.0000 0.0000 0.5000 x3  6 N 2.16
N1 0.0000 0.0000 0.2391 x6  3 U 2.22, 3 Li 2.40
N2 0.0053 0.5026 0.2343 x18  1 Os 2.16, 2 U 2.20



Fermi-level density of states list, top to bottom, in states/eV/f.u.: 0.0; 1.4; 2.5; 5.6; 7.0; 6.2